# PBE VIn2Ni, optimized geometry
data_VIn2Ni
_symmetry_space_group_name_H-M 'P 1'
_symmetry_Int_Tables_number 1
_cell_length_a 7.392
_cell_length_b 7.392
_cell_length_c 5.948
_cell_angle_alpha 51.58
_cell_angle_beta 51.58
_cell_angle_gamma 90.00
loop_
_symmetry_equiv_pos_as_xyz
'x,y,z'
loop_
_atom_site_label
_atom_site_fract_x
_atom_site_fract_y
_atom_site_fract_z
_atom_site_occupancy
Ni1 0.000 0.000 0.000 1
Ni2 0.750 0.250 0.500 1
In1 0.662 0.125 0.250 1
In2 0.875 0.912 0.750 1
In3 0.375 0.338 0.750 1
In4 0.088 0.625 0.250 1
V1 0.500 0.500 0.000 1
V2 0.250 0.750 0.500 1
# - ΔE_f (eV/atom) = 0.447
# - symmetry = No. 122
# - calculated volume (Å³/cell) = 155
# - M_tot (μB/atom) = 0.69